Entry 1:
The following is a SCAN calculation of CdGeSe2 at its PBEsol-relaxed geometry, from the Alexandria database.

CIF file:
```
data_CdGeSe2
_space_group_name_H-M_alt 'P 1'
_space_group_IT_number 1
_space_group_name_Hall 'P 1'
_cell_length_a 4.1556
_cell_length_b 4.1556
_cell_length_c 8.0313
_cell_angle_alpha 75.01
_cell_angle_beta 75.01
_cell_angle_gamma 60.00
loop_
_atom_site_label
_atom_site_type_symbol
_atom_site_fract_x
_atom_site_fract_y
_atom_site_fract_z
Ge1 Ge 0.5000 0.5000 0.5000
Se1 Se 0.8940 0.8940 0.3180
Se2 Se 0.1060 0.1060 0.6820
Cd1 Cd 0.0000 0.0000 0.0000
```

---

Entry 2:
# Mg16Al12Ga SCAN single point on PBEsol structure
data_Mg16Al12Ga
_space_group_name_H-M_alt 'P 1'
_space_group_IT_number 1
_space_group_name_Hall 'P 1'
_cell_length_a 8.9879
_cell_length_b 8.9806
_cell_length_c 8.9806
_cell_angle_alpha 109.02
_cell_angle_beta 109.00
_cell_angle_gamma 109.00
loop_
_atom_site_label
_atom_site_type_symbol
_atom_site_fract_x
_atom_site_fract_y
_atom_site_fract_z
Mg1 Mg 0.3487 0.0026 0.0026
Mg2 Mg 0.2915 0.6881 0.6881
Mg3 Mg 0.6664 0.6461 0.6461
Mg4 Mg 0.9980 0.9990 0.9990
Mg5 Mg 0.9963 0.5950 0.3249
Mg6 Mg 0.4002 0.7123 0.4022
Mg7 Mg 0.5997 0.3169 0.9984
Mg8 Mg 0.9945 0.3500 0.9985
Mg9 Mg 0.6861 0.6783 0.2941
Mg10 Mg 0.3201 0.0028 0.5993
Mg11 Mg 0.3201 0.5993 0.0028
Mg12 Mg 0.6861 0.2941 0.6783
Mg13 Mg 0.9945 0.9985 0.3500
Mg14 Mg 0.5997 0.9984 0.3169
Mg15 Mg 0.4002 0.4022 0.7123
Mg16 Mg 0.9963 0.3249 0.5950
Al1 Al 0.1748 0.3652 0.3652
Al2 Al 0.8125 0.1837 0.1837
Al3 Al 0.0112 0.8246 0.6412
Al4 Al 0.6347 0.0007 0.8143
Al5 Al 0.3624 0.3652 0.1786
Al6 Al 0.1869 0.1910 0.8182
Al7 Al 0.8180 0.0044 0.6325
Al8 Al 0.8180 0.6325 0.0044
Al9 Al 0.1869 0.8182 0.1910
Al10 Al 0.3624 0.1786 0.3652
Al11 Al 0.6347 0.8143 0.0007
Al12 Al 0.0112 0.6412 0.8246
Ga1 Ga 0.6880 0.3719 0.3719
# Formation energy from the elements in eV/f.u.: -0.8
# Relative energy among the computed polymorphs in eV per atom: 0.000
# Density of states at the Fermi level in states/eV/cell: 9.75

---

Entry 3:
# Li3Au SCAN single point on PBEsol structure
data_Li3Au
_space_group_name_H-M_alt 'P 1'
_space_group_IT_number 1
_space_group_name_Hall 'P 1'
_cell_length_a 4.1705
_cell_length_b 4.1705
_cell_length_c 4.5329
_cell_angle_alpha 117.39
_cell_angle_beta 117.39
_cell_angle_gamma 90.00
loop_
_atom_site_label
_atom_site_type_symbol
_atom_site_fract_x
_atom_site_fract_y
_atom_site_fract_z
Au1 Au 0.0000 0.0000 0.0000
Li1 Li 0.5000 0.5000 0.0000
Li2 Li 0.2500 0.7500 0.5000
Li3 Li 0.7500 0.2500 0.5000
# Formation energy from the elements in eV/f.u.: -2.0
# Density of states at the Fermi level in states/eV/cell: 1.06

---

Entry 4:
# Fe2HgN SCAN single point on PBEsol structure
data_Fe2HgN
_space_group_name_H-M_alt 'P 1'
_space_group_IT_number 1
_space_group_name_Hall 'P 1'
_cell_length_a 4.1833
_cell_length_b 4.1833
_cell_length_c 4.1833
_cell_angle_alpha 60.00
_cell_angle_beta 60.00
_cell_angle_gamma 60.00
loop_
_atom_site_label
_atom_site_type_symbol
_atom_site_fract_x
_atom_site_fract_y
_atom_site_fract_z
N1 N 0.0000 0.0000 0.0000
Hg1 Hg 0.5000 0.5000 0.5000
Fe1 Fe 0.2500 0.2500 0.2500
Fe2 Fe 0.7500 0.7500 0.7500
# Density of states at the Fermi level in states/eV/cell: 2.49

---

Entry 5:
# Pt3Au SCAN single point on PBEsol structure
data_Pt3Au
_space_group_name_H-M_alt 'P 1'
_space_group_IT_number 1
_space_group_name_Hall 'P 1'
_cell_length_a 2.7819
_cell_length_b 4.8592
_cell_length_c 4.8592
_cell_angle_alpha 110.04
_cell_angle_beta 90.00
_cell_angle_gamma 90.00
loop_
_atom_site_label
_atom_site_type_symbol
_atom_site_fract_x
_atom_site_fract_y
_atom_site_fract_z
Au1 Au 0.0000 0.0000 0.0000
Pt1 Pt 0.5000 0.0000 0.5000
Pt2 Pt 0.5000 0.5000 0.0000
Pt3 Pt 0.0000 0.5000 0.5000
# Formation energy from the elements in eV/f.u.: 0.3
# Density of states at the Fermi level in states/eV/cell: 4.51

---

Entry 6:
# KBa2IO6 SCAN single point on PBEsol structure
data_KBa2IO6
_space_group_name_H-M_alt 'P 1'
_space_group_IT_number 1
_space_group_name_Hall 'P 1'
_cell_length_a 6.0890
_cell_length_b 6.0890
_cell_length_c 6.0890
_cell_angle_alpha 60.00
_cell_angle_beta 60.00
_cell_angle_gamma 60.00
loop_
_atom_site_label
_atom_site_type_symbol
_atom_site_fract_x
_atom_site_fract_y
_atom_site_fract_z
I1 I 0.0000 0.0000 0.0000
K1 K 0.5000 0.5000 0.5000
Ba1 Ba 0.2500 0.2500 0.2500
Ba2 Ba 0.7500 0.7500 0.7500
O1 O 0.7809 0.2191 0.2191
O2 O 0.2191 0.7809 0.7809
O3 O 0.7809 0.2191 0.7809
O4 O 0.2191 0.7809 0.2191
O5 O 0.7809 0.7809 0.2191
O6 O 0.2191 0.2191 0.7809
# Density of states at the Fermi level in states/eV/cell: 0.00

---

Entry 7:
# CoRePb2 SCAN single point on PBEsol structure
data_CoRePb2
_space_group_name_H-M_alt 'P 1'
_space_group_IT_number 1
_space_group_name_Hall 'P 1'
_cell_length_a 2.9500
_cell_length_b 4.3475
_cell_length_c 6.5535
_cell_angle_alpha 109.37
_cell_angle_beta 103.01
_cell_angle_gamma 90.00
loop_
_atom_site_label
_atom_site_type_symbol
_atom_site_fract_x
_atom_site_fract_y
_atom_site_fract_z
Co1 Co 0.2416 0.7416 0.4832
Pb1 Pb 0.9553 0.9553 0.9105
Pb2 Pb 0.7298 0.2298 0.4597
Re1 Re 0.5733 0.5733 0.1466
# Formation energy from the elements in eV/f.u.: 3.6
# Relative energy among the computed polymorphs in eV per atom: 0.000
# Density of states at the Fermi level in states/eV/cell: 3.05

---

Entry 8:
# BeAlFe SCAN single point on PBEsol structure
data_BeAlFe
_space_group_name_H-M_alt 'P 1'
_space_group_IT_number 1
_space_group_name_Hall 'P 1'
_cell_length_a 3.6656
_cell_length_b 3.6656
_cell_length_c 3.6656
_cell_angle_alpha 60.00
_cell_angle_beta 60.00
_cell_angle_gamma 60.00
loop_
_atom_site_label
_atom_site_type_symbol
_atom_site_fract_x
_atom_site_fract_y
_atom_site_fract_z
Be1 Be 0.2500 0.2500 0.2500
Fe1 Fe 0.0000 0.0000 0.0000
Al1 Al 0.5000 0.5000 0.5000
# Formation energy from the elements in eV/f.u.: 0.7
# Relative energy among the computed polymorphs in eV per atom: 0.000
# Density of states at the Fermi level in states/eV/cell: 3.00

---

no.,total energy (eV/atom),volume (Å³/cell),magnetization (μB per formula unit)
1,-22.52,114.6,0.00
2,-6.54,567.4,0.00
3,-19.58,59.9,0.00
4,-27.30,51.8,6.80
5,-69.85,61.7,0.01
6,-18.10,159.6,0.00
7,-59.09,77.0,2.20
8,-9.83,34.8,1.99